No. 1
DFT (GGA-PBE) results for crystalline LaNdNiOs at its relaxed geometry.

Cell lengths 5.0039, 5.0039, 5.0039 Å; angles 60.00, 60.00, 60.00 degrees
Positions (direct):
La 0.0000 0.0000 0.0000
Nd 0.5000 0.5000 0.5000
Ni 0.7500 0.7500 0.7500
Os 0.2500 0.2500 0.2500

Calculated values
Total DFT energy (no corrections) (eV per formula unit): -27.0
ΔE_f (eV/atom): -0.063
SG: No. 216

No. 2
DFT (GGA-PBE) results for crystalline LaNdNiPt at its relaxed geometry.

Cell lengths 5.0816, 5.0816, 5.0816 Å; angles 60.00, 60.00, 60.00 degrees
Positions (direct):
La 0.0000 0.0000 0.0000
Nd 0.5000 0.5000 0.5000
Ni 0.2500 0.2500 0.2500
Pt 0.7500 0.7500 0.7500

Calculated values
Total DFT energy (no corrections) (eV per formula unit): -24.1
ΔE_f (eV/atom): -0.635
SG: No. 216

No. 3
DFT (GGA-PBE) results for crystalline LaNdNiPt at its relaxed geometry.

Cell lengths 4.4741, 5.7623, 5.7623 Å; angles 40.06, 90.00, 90.00 degrees
Positions (direct):
La 0.0000 0.0000 0.0000
Nd 0.5000 0.2742 0.2742
Ni 0.5000 0.5559 0.5559
Pt 0.0000 0.7169 0.7169

Calculated values
Total DFT energy (no corrections) (eV per formula unit): -24.5
ΔE_f (eV/atom): -0.748
SG: No. 38

No. 4
DFT (GGA-PBE) results for crystalline LaNdNiRu at its relaxed geometry.

Cell lengths 4.9998, 4.9998, 4.9998 Å; angles 60.00, 60.00, 60.00 degrees
Positions (direct):
La 0.0000 0.0000 0.0000
Nd 0.5000 0.5000 0.5000
Ni 0.2500 0.2500 0.2500
Ru 0.7500 0.7500 0.7500

Calculated values
Total DFT energy (no corrections) (eV per formula unit): -25.4
ΔE_f (eV/atom): -0.173
SG: No. 216

No. 5
DFT (GGA-PBE) results for crystalline LaNdNiRu at its relaxed geometry.

Cell lengths 4.0909, 5.9434, 5.9434 Å; angles 39.50, 90.00, 90.00 degrees
Positions (direct):
La 0.0000 0.0000 0.0000
Nd 0.5000 0.2806 0.2806
Ni 0.0000 0.7089 0.7089
Ru 0.5000 0.5686 0.5686

Calculated values
Total DFT energy (no corrections) (eV per formula unit): -25.8
ΔE_f (eV/atom): -0.259
SG: No. 38

No. 6
DFT (GGA-PBE) results for crystalline LaNdSiNi at its relaxed geometry.

Cell lengths 7.7205, 7.7205, 7.7205 Å; angles 30.86, 30.86, 30.86 degrees
Positions (direct):
La 0.0000 0.0000 0.0000
Nd 0.1722 0.1722 0.1722
Si 0.7577 0.7577 0.7577
Ni 0.4175 0.4175 0.4175

Calculated values
Total DFT energy (no corrections) (eV per formula unit): -23.0
Formation energy without anion corrections (eV per atom): -0.52
SG: No. 160

> Look up the total DFT energy (no corrections) of the sixth one.

-23.0 eV per formula unit

> The lowest total DFT energy (no corrections) belongs to which entry?

LaNdNiOs